The following is a PBE calculation of a geometry-optimized CaPm5Pr3 structure, from Alexandria.

```
CaPm5Pr3
1.0
10.128 0.000 0.000
-5.064 8.771 0.000
0.000 0.000 7.177
Ca Pm Pr
2 10 6
Cartesian
0.000 0.000 0.000 Ca
0.000 0.000 3.589 Ca
-1.576 2.730 1.794 Pm
-3.488 6.041 5.383 Pm
3.152 0.000 1.794 Pm
1.576 2.730 5.383 Pm
0.000 5.847 0.000 Pm
0.000 5.847 3.589 Pm
5.064 2.924 0.000 Pm
5.064 2.924 3.589 Pm
6.976 0.000 5.383 Pm
3.488 6.041 1.794 Pm
-1.816 3.146 5.383 Pr
-3.248 5.626 1.794 Pr
3.632 0.000 5.383 Pr
1.816 3.146 1.794 Pr
6.496 0.000 1.794 Pr
3.248 5.626 5.383 Pr
```

Results
The calculation puts the magnetic moment at 0.000 μB per formula unit. As for the calculated total energy: -4.37 eV/atom. The space group is P6_3/mcm.



The following is a PBE calculation of a geometry-optimized Ca2Pm5Pr6 structure, from Alexandria.

```
Ca2Pm5Pr6
1.0
12.302 0.000 0.000
0.000 21.073 0.000
0.000 0.000 3.650
Ca Pm Pr
4 10 12
Cartesian
2.034 4.534 0.000 Ca
4.117 15.070 0.000 Ca
8.185 6.003 0.000 Ca
10.268 16.539 0.000 Ca
0.000 10.537 1.825 Pm
1.161 16.436 1.825 Pm
2.575 1.086 1.825 Pm
3.576 11.622 1.825 Pm
4.990 5.900 1.825 Pm
6.151 0.000 1.825 Pm
7.312 15.173 1.825 Pm
8.726 9.451 1.825 Pm
9.727 19.987 1.825 Pm
11.141 4.637 1.825 Pm
0.617 19.443 0.000 Pr
0.872 13.444 0.000 Pr
2.308 7.974 1.825 Pr
3.843 18.511 1.825 Pr
5.279 2.908 0.000 Pr
5.534 8.906 0.000 Pr
6.768 12.167 0.000 Pr
7.023 18.165 0.000 Pr
8.459 2.562 1.825 Pr
9.994 13.099 1.825 Pr
11.430 7.629 0.000 Pr
11.685 1.630 0.000 Pr
```

Results
The calculation puts the magnetic moment at 0.000 μB per formula unit. As for the calculated total energy: -4.22 eV/atom. The space group is Pbam.



The following is a PBE calculation of a geometry-optimized Ca2Pm6Pr5 structure, from Alexandria.

```
Ca2Pm6Pr5
1.0
12.281 0.000 0.000
0.000 21.030 0.000
0.000 0.000 3.646
Ca Pm Pr
4 12 10
Cartesian
2.009 4.545 0.000 Ca
4.131 15.060 0.000 Ca
8.150 5.970 0.000 Ca
10.272 16.485 0.000 Ca
0.665 19.426 0.000 Pm
0.861 13.434 0.000 Pm
2.282 7.962 1.823 Pm
3.859 18.477 1.823 Pm
5.280 2.919 0.000 Pm
5.475 8.911 0.000 Pm
6.806 12.119 0.000 Pm
7.001 18.111 0.000 Pm
8.422 2.553 1.823 Pm
9.999 13.068 1.823 Pm
11.420 7.596 0.000 Pm
11.616 1.604 0.000 Pm
0.000 10.515 1.823 Pr
1.188 16.435 1.823 Pr
2.547 1.097 1.823 Pr
3.593 11.612 1.823 Pr
4.952 5.920 1.823 Pr
6.140 0.000 1.823 Pr
7.329 15.110 1.823 Pr
8.688 9.418 1.823 Pr
9.733 19.933 1.823 Pr
11.093 4.595 1.823 Pr
```

Results
The calculation puts the magnetic moment at 0.000 μB per formula unit. As for the calculated total energy: -4.22 eV/atom. The space group is Pbam.



The following is a PBE calculation of a geometry-optimized CaPm6Pr12 structure, from Alexandria.

```
CaPm6Pr12
1.0
7.648 4.415 3.422
-7.648 4.415 3.422
0.000 -8.831 3.422
Ca Pm Pr
1 6 12
Cartesian
0.000 0.000 0.000 Ca
0.000 -5.479 2.865 Pm
-4.745 2.739 2.865 Pm
-4.745 -2.739 7.401 Pm
4.745 2.739 2.865 Pm
4.745 -2.739 7.401 Pm
0.000 5.479 7.401 Pm
-1.881 -1.086 3.150 Pr
-2.227 -3.858 5.133 Pr
-4.455 0.000 5.133 Pr
1.881 -1.086 3.150 Pr
0.000 2.172 3.150 Pr
2.227 -3.858 5.133 Pr
-2.227 3.858 5.133 Pr
0.000 -2.172 7.116 Pr
-1.881 1.086 7.116 Pr
4.455 0.000 5.133 Pr
2.227 3.858 5.133 Pr
1.881 1.086 7.116 Pr
```

Results
The calculation puts the magnetic moment at 0.000 μB per formula unit. As for the calculated total energy: -4.41 eV/atom. The space group is R-3m.



The following is a PBE calculation of a geometry-optimized CaPm2Pr7 structure, from Alexandria.

```
CaPm2Pr7
1.0
4.554 -8.194 0.000
4.554 8.194 0.000
0.000 0.000 5.788
Ca Pm Pr
1 2 7
Cartesian
0.000 0.000 0.000 Ca
4.554 3.324 2.894 Pm
4.554 -3.324 2.894 Pm
1.662 1.930 2.894 Pr
4.554 4.268 0.000 Pr
1.662 -1.930 2.894 Pr
4.554 0.000 2.894 Pr
7.446 1.930 2.894 Pr
4.554 -4.268 0.000 Pr
7.446 -1.930 2.894 Pr
```

Results
The calculation puts the magnetic moment at 0.000 μB per formula unit. As for the calculated total energy: -3.93 eV/atom. The space group is Cmmm.



The following is a PBE calculation of a geometry-optimized Ca2Pm8Pr structure, from Alexandria.

```
Ca2Pm8Pr
1.0
8.737 -3.418 0.000
8.737 3.418 0.000
-0.972 0.000 6.726
Ca Pm Pr
2 8 1
Cartesian
3.218 0.000 2.261 Ca
13.284 0.000 4.465 Ca
7.122 1.646 0.650 Pm
3.553 0.000 5.724 Pm
9.380 1.646 6.076 Pm
6.697 0.000 4.086 Pm
9.805 0.000 2.639 Pm
7.122 -1.646 0.650 Pm
12.949 0.000 1.002 Pm
9.380 -1.646 6.076 Pm
-0.486 0.000 3.363 Pr
```

Results
The calculation puts the magnetic moment at 0.000 μB per formula unit. As for the calculated total energy: -4.09 eV/atom. The space group is C2/m.



The following is a PBE calculation of a geometry-optimized CaPmPr4 structure, from Alexandria.

```
CaPmPr4
1.0
3.684 0.000 0.000
0.000 5.312 0.000
-0.012 0.000 11.202
Ca Pm Pr
1 1 4
Cartesian
0.000 0.000 0.000 Ca
1.836 2.656 5.601 Pm
-0.002 0.000 7.417 Pr
1.834 2.656 1.992 Pr
1.839 2.656 9.210 Pr
3.674 0.000 3.785 Pr
```

Results
The calculation puts the magnetic moment at 0.000 μB per formula unit. The calculation puts the offset from the most stable computed form at 0.0000 eV per atom. The space group is P2/m.



The following is a PBE calculation of a geometry-optimized Ca2Pm3Pr4 structure, from Alexandria.

```
Ca2Pm3Pr4
1.0
6.054 -2.997 0.000
6.054 2.997 0.000
-1.766 0.000 8.997
Ca Pm Pr
2 3 4
Cartesian
0.153 0.000 2.789 Ca
10.189 0.000 6.208 Ca
4.224 0.000 2.914 Pm
6.054 0.000 0.000 Pm
6.118 0.000 6.083 Pm
0.567 0.000 8.716 Pr
2.203 0.000 5.708 Pr
8.139 0.000 3.289 Pr
9.775 0.000 0.280 Pr
```

Results
The calculation puts the magnetic moment at 0.000 μB per formula unit. As for the calculated total energy: -4.04 eV/atom. The space group is C2/m.